Entry 1:
Mn8Nb3Al: single point on PBEsol structure, meta-GGA SCAN.

```
data_Mn8Nb3Al
_chemical_formula_sum 'Mn8 Nb3 Al1'
_cell_length_a 4.7141
_cell_length_b 4.7141
_cell_length_c 7.7768
_cell_angle_alpha 90.00
_cell_angle_beta 90.00
_cell_angle_gamma 120.00
_symmetry_space_group_name_H-M 'P 3 m 1'
_symmetry_Int_Tables_number 156
_symmetry_space_group_name_Hall 'P 3 -2"'
loop_
_atom_site_label
_atom_site_type_symbol
_atom_site_fract_x
_atom_site_fract_y
_atom_site_fract_z
Mn1 Mn 0.0000 0.0000 0.0000
Mn2 Mn 0.0000 0.0000 0.4912
Mn3 Mn 0.1730 0.3460 0.2498
Mn4 Mn 0.3412 0.1706 0.7530
Nb1 Nb 0.3333 0.6667 0.5786
Nb2 Nb 0.6667 0.3333 0.0588
Nb3 Nb 0.6667 0.3333 0.4367
Al1 Al 0.3333 0.6667 0.9408
```

Calculated values
DOS at the Fermi energy = 11.8 states/eV/cell
total magnetization = 2.8 μB/cell
energy of formation = -0.1633 eV/atom

---

Entry 2:
LiAu2: single point on PBEsol structure, meta-GGA SCAN.

```
data_LiAu2
_chemical_formula_sum 'Li2 Au4'
_cell_length_a 2.775
_cell_length_b 2.775
_cell_length_c 12.106
_cell_angle_alpha 90.00
_cell_angle_beta 90.00
_cell_angle_gamma 90.00
_symmetry_space_group_name_H-M 'I 4/m m m'
_symmetry_Int_Tables_number 139
_symmetry_space_group_name_Hall '-I 4 2'
loop_
_atom_site_label
_atom_site_type_symbol
_atom_site_fract_x
_atom_site_fract_y
_atom_site_fract_z
Li1 Li 0.000 0.000 0.000
Au1 Au 0.000 0.000 0.343
```

Calculated values
DOS at the Fermi energy = 1.4 states/eV/cell
total magnetization = 0.0 μB/cell
energy of formation = -0.4510 eV/atom